Record 1
DFT (PBE-GGA) results for a geometry-optimized Sm5DyIn2 structure.

```
Sm5DyIn2
1.0
6.963 0.000 0.000
0.000 13.926 0.000
0.000 0.000 4.909
Sm Dy In
10 2 4
direct
0.000 0.000 0.000
0.001 0.251 0.000
0.249 0.876 0.500
0.251 0.376 0.500
0.499 0.751 0.000
0.500 0.500 0.000
0.501 0.249 0.000
0.749 0.624 0.500
0.751 0.124 0.500
0.999 0.749 0.000
0.000 0.500 0.000
0.500 0.000 0.000
0.247 0.624 0.500
0.253 0.124 0.500
0.747 0.876 0.500
0.753 0.376 0.500
```

Record 2
DFT (PBE-GGA) results for a geometry-optimized Sm2Dy3In structure.

```
Sm2Dy3In
1.0
4.882 0.000 0.000
0.000 15.194 0.000
0.000 0.000 4.906
Sm Dy In
4 6 2
direct
0.000 0.162 0.000
0.000 0.838 0.000
0.500 0.338 0.000
0.500 0.662 0.000
0.000 0.000 0.500
0.000 0.335 0.500
0.000 0.665 0.500
0.500 0.165 0.500
0.500 0.500 0.500
0.500 0.835 0.500
0.000 0.500 0.000
0.500 0.000 0.000
```

Record 3
DFT (PBE-GGA) results for a geometry-optimized Sm2Dy3In4 structure.

```
Sm2Dy3In4
1.0
3.538 -8.268 0.000
3.538 8.268 0.000
0.000 0.000 9.139
Sm Dy In
4 6 8
direct
0.109 0.891 0.925
0.391 0.609 0.425
0.609 0.391 0.575
0.891 0.109 0.075
0.000 0.000 0.500
0.032 0.468 0.750
0.468 0.032 0.250
0.500 0.500 0.000
0.532 0.968 0.750
0.968 0.532 0.250
0.185 0.815 0.539
0.218 0.282 0.750
0.282 0.218 0.250
0.315 0.685 0.039
0.685 0.315 0.961
0.718 0.782 0.750
0.782 0.718 0.250
0.815 0.185 0.461
```

Record 4
DFT (PBE-GGA) results for a geometry-optimized Sm3Dy2In structure.

```
Sm3Dy2In
1.0
6.470 0.000 0.000
0.000 10.221 0.000
0.000 0.000 5.790
Sm Dy In
6 4 2
direct
0.000 0.000 0.000
0.000 0.346 0.999
0.000 0.654 0.999
0.500 0.154 0.499
0.500 0.500 0.500
0.500 0.846 0.499
0.000 0.185 0.500
0.000 0.815 0.500
0.500 0.315 0.000
0.500 0.685 0.000
0.000 0.500 0.499
0.500 0.000 0.999
```

Record 5
DFT (PBE-GGA) results for a geometry-optimized Sm5DyIn8 structure.

```
Sm5DyIn8
1.0
-4.668 4.668 4.630
4.668 -4.668 4.630
4.668 4.668 -4.630
Sm Dy In
5 1 8
direct
0.000 0.000 0.000
0.252 0.621 0.126
0.379 0.504 0.631
0.496 0.126 0.874
0.874 0.748 0.369
0.750 0.250 0.500
0.117 0.202 0.743
0.118 0.701 0.747
0.299 0.046 0.417
0.459 0.374 0.257
0.626 0.883 0.085
0.629 0.882 0.583
0.798 0.541 0.915
0.954 0.371 0.253
```

Record 6
DFT (PBE-GGA) results for a geometry-optimized Sm2DyIn2 structure.

```
Sm2DyIn2
1.0
3.789 0.000 0.000
0.000 5.391 0.000
-1.900 0.000 14.099
Sm Dy In
4 2 4
direct
0.047 0.250 0.095
0.237 0.250 0.474
0.763 0.750 0.526
0.953 0.750 0.905
0.147 0.750 0.297
0.853 0.250 0.703
0.358 0.750 0.714
0.448 0.250 0.897
0.552 0.750 0.103
0.642 0.250 0.286
```

Record 7
DFT (PBE-GGA) results for a geometry-optimized Sm3DyIn3 structure.

```
Sm3DyIn3
1.0
9.507 0.000 0.000
-4.753 8.233 0.000
0.000 0.000 5.211
Sm Dy In
6 2 6
direct
0.002 0.764 0.250
0.236 0.237 0.250
0.237 0.002 0.750
0.763 0.998 0.250
0.764 0.763 0.750
0.998 0.236 0.750
0.333 0.667 0.250
0.667 0.333 0.750
0.071 0.614 0.750
0.386 0.457 0.750
0.457 0.071 0.250
0.543 0.929 0.750
0.614 0.543 0.250
0.929 0.386 0.250
```

Record 8
DFT (PBE-GGA) results for a geometry-optimized Sm2DyIn structure.

```
Sm2DyIn
1.0
7.808 0.000 0.000
0.000 7.808 0.000
0.000 0.000 7.808
Sm Dy In
8 4 4
direct
0.250 0.250 0.250
0.250 0.250 0.750
0.250 0.750 0.250
0.250 0.750 0.750
0.750 0.250 0.250
0.750 0.250 0.750
0.750 0.750 0.250
0.750 0.750 0.750
0.000 0.000 0.000
0.000 0.500 0.500
0.500 0.000 0.500
0.500 0.500 0.000
0.000 0.000 0.500
0.000 0.500 0.000
0.500 0.000 0.000
0.500 0.500 0.500
```

| no. | spin magnetization (μB/f.u.) | energy relative to the elements (eV/atom) |
| --- | --- | --- |
| 1 | 0.0 | -0.27 |
| 2 | 0.0 | -0.15 |
| 3 | 0.0 | -0.28 |
| 4 | 0.0 | 0.17 |
| 5 | 0.0 | -0.37 |
| 6 | 0.0 | -0.38 |
| 7 | 0.0 | -0.32 |
| 8 | 1.1 | -0.14 |